(1)
LiSmCdGe2 | Alexandria | PBE-GGA | relaxed; space group = I-4m2; formation energy = -0.475 eV per atom
1.0
-2.1046 2.1046 5.8866
2.1046 -2.1046 5.8866
2.1046 2.1046 -5.8866
Li Sm Cd Ge
1 1 1 2
direct
0.0000 0.0000 0.0000
0.2500 0.7500 0.5000
0.5000 0.5000 0.0000
0.6446 0.1446 0.5000
0.8554 0.3554 0.5000

***

(2)
Ac2Cd3Ga2 | Alexandria | PBE-GGA | relaxed; energy above the lowest structure with this stoichiometry = 0 meV/atom; space group = C2/m; formation energy = -0.385 eV per atom
1.0
5.7649 -2.4330 0.0000
5.7649 2.4330 0.0000
-2.4920 0.0000 6.7137
Ac Cd Ga
2 3 2
direct
0.1539 0.1539 0.2575
0.8461 0.8461 0.7425
0.1498 0.1498 0.7621
0.5000 0.5000 0.5000
0.8502 0.8502 0.2379
0.4130 0.4130 0.0784
0.5870 0.5870 0.9216

***

(3)
CrB2MoPb | Alexandria | PBE-GGA | relaxed; space group = P4/mmm; formation energy = 1.219 eV per atom
1.0
4.0676 0.0000 0.0000
0.0000 4.0676 0.0000
0.0000 0.0000 4.6645
Cr B Mo Pb
1 2 1 1
direct
0.0000 0.0000 0.0000
0.0000 0.5000 0.0000
0.5000 0.0000 0.0000
0.0000 0.0000 0.5000
0.5000 0.5000 0.5000

***

(4)
Ce6Ag2C | Alexandria | PBE-GGA | relaxed; space group = C2/m; formation energy = -0.044 eV per atom
1.0
5.4339 -3.3578 0.0000
5.4339 3.3578 0.0000
-2.9163 0.0000 5.7557
Ce Ag C
6 2 1
direct
0.2385 0.2385 0.3227
0.2381 0.7500 0.7817
0.2500 0.7619 0.2183
0.7500 0.2381 0.7817
0.7619 0.2500 0.2183
0.7615 0.7615 0.6773
0.2483 0.2483 0.8143
0.7517 0.7517 0.1857
0.5000 0.5000 0.5000

***

(5)
Ti7Ga5Au | Alexandria | PBE-GGA | relaxed; space group = Imm2; formation energy = -0.244 eV per atom
1.0
-2.6265 4.5417 4.6110
2.6265 -4.5417 4.6110
2.6265 4.5417 -4.6110
Ti Ga Au
7 5 1
direct
0.0000 0.0000 0.0000
0.2759 0.2759 0.0000
0.2788 0.6263 0.6526
0.4503 0.1242 0.3261
0.7980 0.1242 0.6739
0.8580 0.3580 0.5000
0.9737 0.6263 0.3474
0.1243 0.1282 0.4988
0.1243 0.6256 0.9961
0.3820 0.8820 0.5000
0.6295 0.1282 0.0039
0.6295 0.6256 0.5012
0.6923 0.6923 0.0000

***

(6)
Er4Tm8Zr | Alexandria | PBE-GGA | relaxed; space group = R-3m; formation energy = 0.218 eV per atom
1.0
3.5912 2.0734 8.8034
-3.5912 2.0734 8.8034
0.0000 -4.1467 8.8034
Er Tm Zr
4 8 1
direct
0.0000 0.0000 0.0000
0.0000 0.5000 0.5000
0.5000 0.0000 0.5000
0.5000 0.5000 0.0000
0.1962 0.7460 0.7460
0.2184 0.2184 0.2184
0.2540 0.2540 0.8038
0.2540 0.8038 0.2540
0.7460 0.1962 0.7460
0.7460 0.7460 0.1962
0.7816 0.7816 0.7816
0.8038 0.2540 0.2540
0.5000 0.5000 0.5000

***

(7)
MnBeIr2 | Alexandria | PBE-GGA | relaxed; space group = Cm; formation energy = -0.234 eV per atom
1.0
4.4298 -1.3919 0.0000
4.4298 1.3919 0.0000
-1.3978 0.0000 4.0384
Mn Be Ir
1 1 2
direct
0.0000 0.0000 0.0000
0.2602 0.2602 0.6598
0.5231 0.5231 0.5232
0.7529 0.7529 0.1540

***

(8)
YBO | Alexandria | PBE-GGA | relaxed; energy above the lowest structure with this stoichiometry = 5 meV/atom; space group = Cmcm
1.0
1.6395 -7.3828 0.0000
1.6395 7.3828 0.0000
0.0000 0.0000 3.1876
Y B O
2 2 2
direct
0.1487 0.8513 0.7500
0.8513 0.1487 0.2500
0.4953 0.5047 0.7500
0.5047 0.4953 0.2500
0.3090 0.6910 0.7500
0.6910 0.3090 0.2500

***

(9)
SrCoPb2 | Alexandria | PBE-GGA | relaxed; space group = Pm; formation energy = 0.194 eV per atom
1.0
4.0529 0.0000 0.0000
0.0000 4.8943 0.0000
-2.0109 0.0000 6.0367
Sr Co Pb
1 1 2
direct
0.0000 0.0000 0.0000
0.6748 0.5000 0.3509
0.3223 0.5000 0.6474
0.7182 0.0000 0.4390

***

(10)
ScCd2Au2 | Alexandria | PBE-GGA | relaxed; energy above the lowest structure with this stoichiometry = 292 meV/atom; space group = I4/mmm; formation energy = -0.107 eV per atom
1.0
-2.0136 2.0136 6.7078
2.0136 -2.0136 6.7078
2.0136 2.0136 -6.7078
Sc Cd Au
1 2 2
direct
0.0000 0.0000 0.0000
0.3980 0.3980 0.0000
0.6020 0.6020 0.0000
0.2500 0.7500 0.5000
0.7500 0.2500 0.5000

***

(11)
SrFe2H7 | Alexandria | PBE-GGA | relaxed; E_tot = -0.159 Ha/atom; space group = Cmmm
1.0
2.4840 -4.4243 0.0000
2.4840 4.4243 0.0000
0.0000 0.0000 3.5450
Sr Fe H
1 2 7
direct
0.0000 0.0000 0.0000
0.3105 0.6895 0.5000
0.6895 0.3105 0.5000
0.0279 0.3336 0.5000
0.3201 0.6799 0.0000
0.3336 0.0279 0.5000
0.5000 0.5000 0.5000
0.6664 0.9721 0.5000
0.6799 0.3201 0.0000
0.9721 0.6664 0.5000

***

(12)
BiSb2Te2 | Alexandria | PBE-GGA | relaxed; energy above the lowest structure with this stoichiometry = 0 meV/atom; space group = P4/mbm
1.0
8.9310 0.0000 0.0000
0.0000 8.9310 0.0000
0.0000 0.0000 4.0098
Bi Sb Te
2 4 4
direct
0.0000 0.0000 0.0000
0.5000 0.5000 0.0000
0.1903 0.3097 0.0000
0.3097 0.8097 0.0000
0.6903 0.1903 0.0000
0.8097 0.6903 0.0000
0.1428 0.6428 0.5000
0.3572 0.1428 0.5000
0.6428 0.8572 0.5000
0.8572 0.3572 0.5000